# 1
DFT (PBE) results for a geometry-optimized Li5Tl2Hg structure.

Structure (CIF):
```
data_Li5Tl2Hg
_chemical_formula_sum 'Li10 Tl4 Hg2'
_cell_length_a 4.7493
_cell_length_b 4.7493
_cell_length_c 13.6186
_cell_angle_alpha 90.00
_cell_angle_beta 90.00
_cell_angle_gamma 90.00
_space_group_name_H-M_alt 'I 4/m m m'
_space_group_IT_number 139
_space_group_name_Hall '-I 4 2'
loop_
_atom_site_label
_atom_site_fract_x
_atom_site_fract_y
_atom_site_fract_z
Li1 0.0000 0.0000 0.0000
Li2 0.0000 0.5000 0.1195
Tl1 0.0000 0.0000 0.2448
Hg1 0.0000 0.0000 0.5000
```

Computed properties:
**N(E_F)**: 4.35 states/eV per cell
**Raw total energy**: -33.320 eV for the cell shown
**Calculated formation energy**: -0.257 eV per atom
**ΔE to the lowest computed polymorph**: 0 meV/atom

=====

# 2
DFT (PBE) results for a geometry-optimized Li3TlHg9 structure.

Structure (CIF):
```
data_Li3TlHg9
_chemical_formula_sum 'Li6 Tl2 Hg18'
_cell_length_a 6.1715
_cell_length_b 14.6264
_cell_length_c 7.4317
_cell_angle_alpha 90.00
_cell_angle_beta 113.90
_cell_angle_gamma 90.00
_space_group_name_H-M_alt 'C 1 2/m 1'
_space_group_IT_number 12
_space_group_name_Hall '-C 2y'
loop_
_atom_site_label
_atom_site_fract_x
_atom_site_fract_y
_atom_site_fract_z
Li1 0.0000 0.0000 0.0000
Li2 0.2500 0.2500 0.5000
Tl1 0.0000 0.5000 0.5000
Hg1 0.0000 0.5000 0.0000
Hg2 0.0785 0.1112 0.7172
Hg3 0.1504 0.3248 0.8213
```

Computed properties:
**N(E_F)**: 10.05 states/eV per cell
**Raw total energy**: -25.593 eV for the cell shown
**Calculated formation energy**: -0.152 eV per atom

=====

# 3
DFT (PBE) results for a geometry-optimized Li5TlHg2 structure.

Structure (CIF):
```
data_Li5TlHg2
_chemical_formula_sum 'Li10 Tl2 Hg4'
_cell_length_a 4.7767
_cell_length_b 4.7767
_cell_length_c 13.0015
_cell_angle_alpha 90.00
_cell_angle_beta 90.00
_cell_angle_gamma 90.00
_space_group_name_H-M_alt 'I 4/m m m'
_space_group_IT_number 139
_space_group_name_Hall '-I 4 2'
loop_
_atom_site_label
_atom_site_fract_x
_atom_site_fract_y
_atom_site_fract_z
Li1 0.0000 0.0000 0.0000
Li2 0.0000 0.5000 0.1288
Tl1 0.0000 0.0000 0.5000
Hg1 0.0000 0.0000 0.2416
```

Computed properties:
**N(E_F)**: 6.46 states/eV per cell
**Raw total energy**: -29.877 eV for the cell shown
**Calculated formation energy**: -0.300 eV per atom

=====

# 4
DFT (PBE) results for a geometry-optimized LiTl4Hg2 structure.

Structure (CIF):
```
data_LiTl4Hg2
_chemical_formula_sum 'Li2 Tl8 Hg4'
_cell_length_a 5.1889
_cell_length_b 5.1889
_cell_length_c 15.8598
_cell_angle_alpha 90.00
_cell_angle_beta 90.00
_cell_angle_gamma 90.00
_space_group_name_H-M_alt 'I 4/m m m'
_space_group_IT_number 139
_space_group_name_Hall '-I 4 2'
loop_
_atom_site_label
_atom_site_fract_x
_atom_site_fract_y
_atom_site_fract_z
Li1 0.0000 0.0000 0.0000
Tl1 0.0000 0.0000 0.1770
Tl2 0.0000 0.5000 0.0000
Hg1 0.0000 0.0000 0.3665
```

Computed properties:
**N(E_F)**: 6.49 states/eV per cell
**Raw total energy**: -22.957 eV for the cell shown
**Calculated formation energy**: 0.072 eV per atom
**ΔE to the lowest computed polymorph**: 115 meV/atom

=====

# 5
DFT (PBE) results for a geometry-optimized LiTl12Hg6 structure.

Structure (CIF):
```
data_LiTl12Hg6
_chemical_formula_sum 'Li3 Tl36 Hg18'
_cell_length_a 14.8117
_cell_length_b 14.8117
_cell_length_c 8.6579
_cell_angle_alpha 90.00
_cell_angle_beta 90.00
_cell_angle_gamma 120.00
_space_group_name_H-M_alt 'R -3'
_space_group_IT_number 148
_space_group_name_Hall '-R 3'
loop_
_atom_site_label
_atom_site_fract_x
_atom_site_fract_y
_atom_site_fract_z
Li1 0.0000 0.0000 0.0000
Tl1 0.0240 0.7614 0.3870
Tl2 0.0748 0.5076 0.6499
Hg1 0.0023 0.8775 0.7004
```

Computed properties:
**N(E_F)**: 25.66 states/eV per cell
**Raw total energy**: -96.925 eV for the cell shown
**Calculated formation energy**: -0.010 eV per atom
**ΔE to the lowest computed polymorph**: 4 meV/atom

=====

# 6
DFT (PBE) results for a geometry-optimized LiTl12Hg6 structure.

Structure (CIF):
```
data_LiTl12Hg6
_chemical_formula_sum 'Li3 Tl36 Hg18'
_cell_length_a 11.5009
_cell_length_b 11.5009
_cell_length_c 14.3793
_cell_angle_alpha 90.00
_cell_angle_beta 90.00
_cell_angle_gamma 120.00
_space_group_name_H-M_alt 'R -3'
_space_group_IT_number 148
_space_group_name_Hall '-R 3'
loop_
_atom_site_label
_atom_site_fract_x
_atom_site_fract_y
_atom_site_fract_z
Li1 0.0000 0.0000 0.0000
Tl1 0.0371 0.1856 0.8116
Tl2 0.0673 0.8546 0.4108
Hg1 0.0412 0.4474 0.7057
```

Computed properties:
**N(E_F)**: 28.17 states/eV per cell
**Raw total energy**: -97.154 eV for the cell shown
**Calculated formation energy**: -0.014 eV per atom
**ΔE to the lowest computed polymorph**: 0 meV/atom

=====

# 7
DFT (PBE) results for a geometry-optimized LiTl2Hg2 structure.

Structure (CIF):
```
data_LiTl2Hg2
_chemical_formula_sum 'Li2 Tl4 Hg4'
_cell_length_a 7.4894
_cell_length_b 7.4894
_cell_length_c 4.8370
_cell_angle_alpha 90.00
_cell_angle_beta 90.00
_cell_angle_gamma 90.00
_space_group_name_H-M_alt 'P 4/m b m'
_space_group_IT_number 127
_space_group_name_Hall '-P 4 2ab'
loop_
_atom_site_label
_atom_site_fract_x
_atom_site_fract_y
_atom_site_fract_z
Li1 0.0000 0.0000 0.0000
Tl1 0.1722 0.3278 0.5000
Hg1 0.1441 0.6441 0.0000
```

Computed properties:
**N(E_F)**: 4.62 states/eV per cell
**Raw total energy**: -15.200 eV for the cell shown
**Calculated formation energy**: -0.070 eV per atom
**ΔE to the lowest computed polymorph**: 7 meV/atom

=====

# 8
DFT (PBE) results for a geometry-optimized Li8Tl2Hg structure.

Structure (CIF):
```
data_Li8Tl2Hg
_chemical_formula_sum 'Li16 Tl4 Hg2'
_cell_length_a 14.6059
_cell_length_b 4.4095
_cell_length_c 6.7679
_cell_angle_alpha 90.00
_cell_angle_beta 109.36
_cell_angle_gamma 90.00
_space_group_name_H-M_alt 'C 1 2/m 1'
_space_group_IT_number 12
_space_group_name_Hall '-C 2y'
loop_
_atom_site_label
_atom_site_fract_x
_atom_site_fract_y
_atom_site_fract_z
Li1 0.0358 0.0000 0.2341
Li2 0.0956 0.5000 0.9427
Li3 0.1417 0.0000 0.6874
Li4 0.1745 0.5000 0.4071
Tl1 0.2158 0.0000 0.1502
Hg1 0.0000 0.5000 0.5000
```

Computed properties:
**N(E_F)**: 5.98 states/eV per cell
**Raw total energy**: -45.776 eV for the cell shown
**Calculated formation energy**: -0.231 eV per atom
**ΔE to the lowest computed polymorph**: 0 meV/atom

=====

Number 1: size of the total moment 0.00 μB per formula unit. Number 2: size of the total moment 0.00 μB per formula unit. Number 3: size of the total moment 0.00 μB per formula unit. Number 4: size of the total moment 0.00 μB per formula unit. Number 5: size of the total moment 0.00 μB per formula unit. Number 6: size of the total moment 0.00 μB per formula unit. Number 7: size of the total moment 0.00 μB per formula unit. Number 8: size of the total moment 0.00 μB per formula unit.